Entry 1:
The following is a PBE calculation of a relaxed PdPb2S3 crystal, from OQMD via LeMat-Bulk.

```
PdPb2S3
1.0
-1.967 2.351 7.633
1.967 -2.351 7.633
1.967 2.351 -7.633
Pd Pb S
1 2 3
Cartesian
0.000 0.000 0.000 Pd
0.000 0.000 5.391 Pb
0.000 0.000 9.874 Pb
0.000 0.000 2.393 S
0.000 2.351 0.000 S
0.000 0.000 12.872 S
```

Summary:
Symmetry: Immm (71)
Uncorrected energy (eV/atom): -4.52

Entry 2:
The following is a PBE calculation of a relaxed DyEr2Tm3OsS2 crystal, from OQMD via LeMat-Bulk.

```
DyEr2Tm3OsS2
1.0
3.950 0.000 0.000
0.000 6.655 3.900
0.000 -6.655 3.900
Dy Er Tm Os S
1 2 3 1 2
Cartesian
0.000 0.000 0.000 Dy
0.000 -2.685 4.734 Er
0.000 2.685 4.734 Er
1.975 -1.668 2.192 Tm
1.975 1.668 2.192 Tm
1.975 0.000 5.148 Tm
0.000 0.000 3.223 Os
1.975 -4.454 3.178 S
1.975 4.454 3.178 S
```

Summary:
Symmetry: Amm2 (38)
Uncorrected energy (eV/atom): -5.98

Entry 3:
The following is a PBE calculation of a relaxed Co3W crystal, from OQMD via LeMat-Bulk.

```
Co3W
1.0
3.591 0.000 0.000
0.000 3.591 0.000
0.000 0.000 3.591
Co W
3 1
Cartesian
0.000 0.000 1.795 Co
0.000 1.795 0.000 Co
1.795 0.000 0.000 Co
1.795 1.795 1.795 W
```

Summary:
Energy of formation (eV per atom): -0.04
Symmetry: Pm-3m (221)
Uncorrected energy (eV/atom): -8.61